Record 1
Density functional theory data (GGA-PBE) for a relaxed DyZrCu crystal.

Relative energy among the computed polymorphs: 0 kJ/mol of formula units
Total energy: -5.37 eV per atom

a = 6.557 Å, b = 6.557 Å, c = 6.557 Å
α = 90.00°, β = 90.00°, γ = 90.00°
Space group F-43m (No. 216)
Asymmetric unit:
Dy 0.000 0.000 0.000 [4 per cell]
Zr 0.000 0.000 0.500 [4 per cell]
Cu 0.250 0.250 0.250 [4 per cell]



Record 2
Density functional theory data (GGA-PBE) for a relaxed Na2CdO2 crystal.

Total energy: -3.81 eV per atom

a = 6.083 Å, b = 3.201 Å, c = 7.648 Å
α = 90.00°, β = 105.33°, γ = 90.00°
Space group P2_1/m (No. 11)
Asymmetric unit:
Na 0.074 0.250 0.362 [2 per cell]
Na 0.166 0.250 0.947 [2 per cell]
Cd 0.482 0.750 0.718 [2 per cell]
O 0.222 0.250 0.667 [2 per cell]
O 0.241 0.750 0.178 [2 per cell]



Record 3
Density functional theory data (GGA-PBE) for a relaxed TbSmZn crystal.

Relative energy among the computed polymorphs: 0 kJ/mol of formula units
Total energy: -3.61 eV per atom

a = 5.1711 Å, b = 5.1711 Å, c = 13.6898 Å
α = 90.00°, β = 90.00°, γ = 120.00°
Space group P6_3/mmc (No. 194)
Asymmetric unit:
Tb 0.3333 0.6667 0.1155 [4 per cell]
Sm 0.0000 0.0000 0.0000 [2 per cell]
Sm 0.0000 0.0000 0.2500 [2 per cell]
Zn 0.3333 0.6667 0.6410 [4 per cell]



Record 4
Density functional theory data (GGA-PBE) for a relaxed Nd2Cu2SiGe crystal.

Total energy: -5.14 eV per atom

a = 4.2388 Å, b = 4.2388 Å, c = 7.9362 Å
α = 90.00°, β = 90.00°, γ = 120.00°
Space group P-6m2 (No. 187)
Asymmetric unit:
Nd 0.0000 0.0000 0.2496 [2 per cell]
Cu 0.3333 0.6667 0.0000 [1 per cell]
Cu 0.6667 0.3333 0.5000 [1 per cell]
Si 0.6667 0.3333 0.0000 [1 per cell]
Ge 0.3333 0.6667 0.5000 [1 per cell]



Record 5
Density functional theory data (GGA-PBE) for a relaxed BaCuOs2 crystal.

Total energy: -5.71 eV per atom

a = 6.694 Å, b = 6.694 Å, c = 6.694 Å
α = 90.00°, β = 90.00°, γ = 90.00°
Space group F-43m (No. 216)
Asymmetric unit:
Ba 0.000 0.000 0.000 [4 per cell]
Cu 0.250 0.250 0.250 [4 per cell]
Os 0.000 0.000 0.500 [4 per cell]
Os 0.250 0.250 0.750 [4 per cell]



Record 6
Density functional theory data (GGA-PBE) for a relaxed OsOF3 crystal.

Relative energy among the computed polymorphs: 31 kJ/mol of formula units
Total energy: -5.77 eV per atom

a = 8.882 Å, b = 3.657 Å, c = 7.941 Å
α = 90.00°, β = 115.52°, γ = 90.00°
Space group C2/m (No. 12)
Asymmetric unit:
Os 0.132 0.000 0.206 [4 per cell]
O 0.128 0.500 0.199 [4 per cell]
F 0.120 0.000 0.435 [4 per cell]
F 0.126 0.000 0.941 [4 per cell]
F 0.134 0.500 0.688 [4 per cell]



Record 7
Density functional theory data (GGA-PBE) for a relaxed KCoAuS3 crystal.

Total energy: -4.24 eV per atom

a = 3.411 Å, b = 16.016 Å, c = 9.477 Å
α = 90.00°, β = 90.00°, γ = 90.00°
Space group Cmcm (No. 63)
Asymmetric unit:
K 0.000 0.216 0.250 [4 per cell]
Co 0.000 0.500 0.000 [4 per cell]
Au 0.000 0.109 0.750 [4 per cell]
S 0.000 0.095 0.507 [8 per cell]
S 0.000 0.461 0.750 [4 per cell]



Record 8
Density functional theory data (GGA-PBE) for a relaxed Nd2CuSi2Au crystal.

Total energy: -5.27 eV per atom

a = 4.2641 Å, b = 4.2641 Å, c = 8.1951 Å
α = 90.00°, β = 90.00°, γ = 120.00°
Space group P-6m2 (No. 187)
Asymmetric unit:
Nd 0.0000 0.0000 0.2419 [2 per cell]
Cu 0.6667 0.3333 0.0000 [1 per cell]
Si 0.3333 0.6667 0.0000 [1 per cell]
Si 0.6667 0.3333 0.5000 [1 per cell]
Au 0.3333 0.6667 0.5000 [1 per cell]